! PmPa2Ir, optimized geometry, DFT GGA-PBE; values from VASP
! Total magnetization = 0.0 μB per formula unit
! DOS(E_F) = 1.53 states/eV per atom
! Electronic total energy = -8.38 eV per atom
! Calculated volume = 102 Å³/cell
&SYSTEM
  ibrav = 0, nat = 4, ntyp = 3
/
ATOMIC_SPECIES
Pm 145.00 Pm.upf
Pa 231.04 Pa.upf
Ir 192.22 Ir.upf
ATOMIC_POSITIONS crystal
Pm 0.000 0.000 0.000
Pa 0.500 0.500 0.313
Pa 0.500 0.500 0.687
Ir 0.000 0.000 0.500
CELL_PARAMETERS angstrom
3.621 0.000 0.000
0.000 3.621 0.000
0.000 0.000 7.797

=====

! MgTlGa, optimized geometry, DFT GGA-PBE; values from VASP
! Total magnetization = 0.0 μB per formula unit
! DOS(E_F) = 0.44 states/eV per atom
! Electronic total energy = -2.31 eV per atom
! Calculated volume = 291 Å³/cell
&SYSTEM
  ibrav = 0, nat = 12, ntyp = 3
/
ATOMIC_SPECIES
Mg 24.30 Mg.upf
Tl 204.38 Tl.upf
Ga 69.72 Ga.upf
ATOMIC_POSITIONS crystal
Mg 0.231 0.250 0.172
Mg 0.269 0.750 0.672
Mg 0.731 0.250 0.328
Mg 0.769 0.750 0.828
Tl 0.244 0.250 0.466
Tl 0.256 0.750 0.966
Tl 0.744 0.250 0.034
Tl 0.756 0.750 0.534
Ga 0.013 0.750 0.276
Ga 0.487 0.250 0.776
Ga 0.513 0.750 0.224
Ga 0.987 0.250 0.724
CELL_PARAMETERS angstrom
5.553 0.000 0.000
0.000 4.642 0.000
0.000 0.000 11.281

=====

! Ca8In2Pt, optimized geometry, DFT GGA-PBE; values from VASP
! Total magnetization = 0.0 μB per formula unit
! DOS(E_F) = 0.91 states/eV per atom
! Electronic total energy = -2.91 eV per atom
! Calculated volume = 349 Å³/cell
&SYSTEM
  ibrav = 0, nat = 11, ntyp = 3
/
ATOMIC_SPECIES
Ca 40.08 Ca.upf
In 114.82 In.upf
Pt 195.08 Pt.upf
ATOMIC_POSITIONS crystal
Ca 0.021 0.021 0.291
Ca 0.208 0.208 0.789
Ca 0.350 0.350 0.549
Ca 0.405 0.405 0.079
Ca 0.595 0.595 0.921
Ca 0.650 0.650 0.451
Ca 0.792 0.792 0.211
Ca 0.979 0.979 0.709
In 0.181 0.181 0.208
In 0.819 0.819 0.792
Pt 0.500 0.500 0.500
CELL_PARAMETERS angstrom
9.372 -2.725 0.000
9.372 2.725 0.000
-2.329 0.000 6.834

=====

! PrSnHg6, optimized geometry, DFT GGA-PBE; values from VASP
! Total magnetization = 0.0 μB per formula unit
! DOS(E_F) = 0.62 states/eV per atom
! Electronic total energy = -1.20 eV per atom
! Calculated volume = 271 Å³/cell
&SYSTEM
  ibrav = 0, nat = 8, ntyp = 3
/
ATOMIC_SPECIES
Pr 140.91 Pr.upf
Sn 118.71 Sn.upf
Hg 200.59 Hg.upf
ATOMIC_POSITIONS crystal
Pr 0.000 0.000 0.000
Sn 0.500 0.500 0.500
Hg 0.067 0.067 0.555
Hg 0.067 0.555 0.067
Hg 0.445 0.933 0.933
Hg 0.555 0.067 0.067
Hg 0.933 0.445 0.933
Hg 0.933 0.933 0.445
CELL_PARAMETERS angstrom
3.069 1.772 8.304
-3.069 1.772 8.304
0.000 -3.543 8.304

=====

! TiW, optimized geometry, DFT GGA-PBE; values from VASP
! Total magnetization = 0.8 μB per formula unit
! DOS(E_F) = 1.33 states/eV per atom
! Electronic total energy = -8.23 eV per atom
! Calculated volume = 243 Å³/cell
&SYSTEM
  ibrav = 0, nat = 8, ntyp = 2
/
ATOMIC_SPECIES
Ti 47.87 Ti.upf
W 183.84 W.upf
ATOMIC_POSITIONS crystal
Ti 0.000 0.000 0.582
Ti 0.000 0.582 0.000
Ti 0.418 0.418 0.418
Ti 0.582 0.000 0.000
W 0.000 0.000 0.234
W 0.000 0.234 0.000
W 0.234 0.000 0.000
W 0.766 0.766 0.766
CELL_PARAMETERS angstrom
-3.931 3.931 3.931
3.931 -3.931 3.931
3.931 3.931 -3.931

=====

! ScHgSb2Te, optimized geometry, DFT GGA-PBE; values from VASP
! Total magnetization = 0.0 μB per formula unit
! Energy relative to the elements, uncorrected = 0.05 eV/atom
! DOS(E_F) = 1.02 states/eV per atom
! Electronic total energy = -3.56 eV per atom
! Calculated volume = 169 Å³/cell
&SYSTEM
  ibrav = 0, nat = 5, ntyp = 4
/
ATOMIC_SPECIES
Sc 44.96 Sc.upf
Hg 200.59 Hg.upf
Sb 121.76 Sb.upf
Te 127.60 Te.upf
ATOMIC_POSITIONS crystal
Sc 0.000 0.000 0.000
Hg 0.500 0.500 0.500
Sb 0.000 0.500 0.000
Sb 0.500 0.000 0.000
Te 0.000 0.000 0.500
CELL_PARAMETERS angstrom
5.553 0.000 0.000
0.000 5.553 0.000
0.000 0.000 5.486

=====

Which value of calculated volume does entry 2 give? 291 Å³/cell